No. 1
Crystalline TeP2Ir at its relaxed geometry. Source: the Alexandria database, functional GGA-PBE.

a = 5.8829 Å, b = 5.8829 Å, c = 5.8829 Å
α = 151.21°, β = 127.83°, γ = 60.68°
Last column: nearest neighbours and their distance in Å.
Atoms (fractional coordinates):
Ir (0.2500, 0.7500, 0.5000)  4 P 2.43
P (0.4410, 0.4410, 0.0000)  2 Ir 2.43
Te (0.7500, 0.2500, 0.5000)  2 Te 2.92, 4 Ir 2.97, 4 P 3.23
P (0.0590, 0.0590, 0.0000)  2 Ir 2.43

Summary:
The uncorrected formation energy is 0.380 eV per atom. For the magnetic moment, the calculation gives 0.0 Bohr magnetons per cell. Its space group is Immm.

No. 2
Crystalline Rb2NdInBr6 at its relaxed geometry. Source: the Alexandria database, functional GGA-PBE.

a = 8.1100 Å, b = 8.6465 Å, c = 11.6836 Å
α = 90.00°, β = 88.91°, γ = 90.00°
Last column: nearest neighbours and their distance in Å.
Atoms (fractional coordinates):
Rb (0.9706, 0.0776, 0.7465)  6 Br 3.49-3.75
Rb (0.5294, 0.5776, 0.7535)  6 Br 3.49-3.75
Br (0.8264, 0.7818, 0.9352)  1 Nd 2.92
Br (0.1736, 0.2182, 0.0648)  1 Nd 2.92
In (0.5000, 0.0000, 0.0000)  6 Br 3.29-3.33
Br (0.6186, 0.0426, 0.2657)  1 Nd 2.91
Br (0.6736, 0.2818, 0.5648)  1 Nd 2.92
Br (0.3814, 0.9574, 0.7343)  1 Nd 2.91
Br (0.2097, 0.1817, 0.4460)  1 Nd 2.91
In (0.0000, 0.5000, 0.5000)  6 Br 3.29-3.33
Rb (0.4706, 0.4224, 0.2465)  6 Br 3.49-3.75
Br (0.1186, 0.4574, 0.7657)  1 Nd 2.91
Br (0.3264, 0.7182, 0.4352)  1 Nd 2.92
Nd (0.0000, 0.5000, 0.0000)  6 Br 2.91-2.92
Nd (0.5000, 0.0000, 0.5000)  6 Br 2.91-2.92
Br (0.7903, 0.8183, 0.5540)  1 Nd 2.91
Br (0.7097, 0.3183, 0.9460)  1 Nd 2.91
Br (0.2903, 0.6817, 0.0540)  1 Nd 2.91
Br (0.8814, 0.5426, 0.2343)  1 Nd 2.91
Rb (0.0294, 0.9224, 0.2535)  6 Br 3.49-3.75

Summary:
The uncorrected formation energy is -1.614 eV per atom. For the magnetic moment, the calculation gives 0.0 Bohr magnetons per cell. Its space group is P2_1/c.

No. 3
Crystalline Pm3MgSc3Se8 at its relaxed geometry. Source: the Alexandria database, functional GGA-PBE.

a = 7.9702 Å, b = 7.9705 Å, c = 8.0926 Å
α = 119.50°, β = 90.00°, γ = 120.00°
Last column: nearest neighbours and their distance in Å.
Atoms (fractional coordinates):
Se (0.7549, 0.5098, 0.2712)  2 Sc 2.75, 1 Mg 2.78, 2 Pm 2.94
Se (0.2614, 0.0162, 0.2711)  2 Sc 2.75, 1 Mg 2.78, 2 Pm 2.94
Pm (0.0000, 0.5000, 0.0000)  6 Se 2.94
Pm (0.0000, 0.0000, 0.0000)  6 Se 2.94
Sc (0.5000, 0.5000, 0.5000)  6 Se 2.75
Se (0.2451, 0.4902, 0.7288)  2 Sc 2.75, 1 Mg 2.78, 2 Pm 2.94
Pm (0.5000, 0.5000, 0.0000)  6 Se 2.94
Se (0.7417, 0.4833, 0.7250)  3 Sc 2.75, 3 Pm 2.94
Se (0.7549, 0.0163, 0.2711)  2 Sc 2.75, 1 Mg 2.78, 2 Pm 2.94
Se (0.2583, 0.5167, 0.2750)  3 Sc 2.75, 3 Pm 2.94
Sc (0.5000, 0.0000, 0.5000)  6 Se 2.75
Se (0.2451, 0.9837, 0.7289)  2 Sc 2.75, 1 Mg 2.78, 2 Pm 2.94
Mg (0.0000, 0.0000, 0.5000)  6 Se 2.78
Sc (0.0000, 0.5000, 0.5000)  6 Se 2.75
Se (0.7386, 0.9838, 0.7289)  2 Sc 2.75, 1 Mg 2.78, 2 Pm 2.94

Summary:
The uncorrected formation energy is -1.691 eV per atom. For the magnetic moment, the calculation gives 0.0 Bohr magnetons per cell. Its space group is R-3m.